i) The following is a DFT calculation (PBE-GGA) of LiCrBr2 after structural relaxation.

Unit cell a=4.119 b=4.119 c=7.462 alpha=90.00 beta=90.00 gamma=124.06
Sites, in units of the cell vectors:
Li: 0.500 0.500 0.750
Cr: 0.500 0.500 0.250
Br: 0.000 0.000 0.993
Br: 0.000 0.000 0.507

## Properties
space-group type: Cmmm, No. 65

ii) The following is a DFT calculation (PBE-GGA) of LiCrBr2 after structural relaxation.

Unit cell a=5.542 b=4.187 c=4.196 alpha=80.93 beta=90.00 gamma=90.00
Sites, in units of the cell vectors:
Br: 0.500 0.394 0.394
Br: 0.000 0.869 0.871
Cr: 0.000 0.430 0.430
Li: 0.500 0.807 0.805

## Properties
space-group type: Pm, No. 6

ii) comes first in stability; the runner-up is 93 meV per atom higher.

i) The following is a DFT calculation (PBE-GGA) of LiCrBr2 after structural relaxation.

Unit cell a=5.992 b=5.992 c=7.409 alpha=66.15 beta=66.15 gamma=90.00
Sites, in units of the cell vectors:
Cr: 0.000 0.000 0.000
Cr: 0.750 0.250 0.500
Br: 0.375 0.390 0.750
Br: 0.610 0.125 0.250
Br: 0.140 0.625 0.250
Br: 0.875 0.860 0.750
Li: 0.500 0.500 0.000
Li: 0.250 0.750 0.500

## Properties
space-group type: I-42d, No. 122

ii) The following is a DFT calculation (PBE-GGA) of LiCrBr2 after structural relaxation.

Unit cell a=8.213 b=8.213 c=8.213 alpha=28.41 beta=28.41 gamma=28.41
Sites, in units of the cell vectors:
Br: 0.895 0.895 0.895
Br: 0.105 0.105 0.105
Cr: 0.000 0.000 0.000
Li: 0.500 0.500 0.500

## Properties
space-group type: R-3m, No. 166

iii) The following is a DFT calculation (PBE-GGA) of LiCrBr2 after structural relaxation.

Unit cell a=4.973 b=4.973 c=4.973 alpha=60.00 beta=60.00 gamma=60.00
Sites, in units of the cell vectors:
Li: 0.000 0.000 0.000
Cr: 0.500 0.500 0.500
Br: 0.250 0.250 0.250
Br: 0.750 0.750 0.750

## Properties
space-group type: Fm-3m, No. 225

i) comes first in stability; the runner-up is 64 meV per atom higher.

i) The following is a DFT calculation (PBE-GGA) of Li3CrBr after structural relaxation.

Unit cell a=5.250 b=5.250 c=5.250 alpha=90.00 beta=90.00 gamma=90.00
Sites, in units of the cell vectors:
Br: 0.500 0.500 0.500
Li: 0.000 0.000 0.500
Li: 0.500 0.000 0.000
Li: 0.000 0.500 0.000
Cr: 0.000 0.000 0.000

## Properties
space-group type: Pm-3m, No. 221

ii) The following is a DFT calculation (PBE-GGA) of Li3CrBr after structural relaxation.

Unit cell a=4.914 b=4.914 c=4.914 alpha=90.00 beta=90.00 gamma=90.00
Sites, in units of the cell vectors:
Li: 0.000 0.000 0.500
Li: 0.500 0.000 0.000
Li: 0.000 0.500 0.000
Cr: 0.500 0.500 0.500
Br: 0.000 0.000 0.000

## Properties
space-group type: Pm-3m, No. 221

ii) comes first in stability; the runner-up is 369 meV per atom higher.

i) The following is a DFT calculation (PBE-GGA) of Mg2CrBr after structural relaxation.

Unit cell a=5.741 b=5.741 c=5.241 alpha=69.35 beta=69.35 gamma=33.74
Sites, in units of the cell vectors:
Mg: 0.757 0.757 0.706
Mg: 0.974 0.974 0.060
Cr: 0.232 0.232 0.200
Br: 0.538 0.538 0.534

## Properties
space-group type: Cm, No. 8

ii) The following is a DFT calculation (PBE-GGA) of Mg2CrBr after structural relaxation.

Unit cell a=7.825 b=7.825 c=6.392 alpha=52.26 beta=52.26 gamma=90.00
Sites, in units of the cell vectors:
Mg: 0.375 0.360 0.750
Mg: 0.640 0.125 0.250
Mg: 0.110 0.625 0.250
Mg: 0.875 0.890 0.750
Br: 0.750 0.250 0.500
Br: 0.000 0.000 0.000
Cr: 0.500 0.500 0.000
Cr: 0.250 0.750 0.500

## Properties
space-group type: I-42d, No. 122

i) comes first in stability; the runner-up is 118 meV per atom higher.

i) The following is a DFT calculation (PBE-GGA) of Mg2CrBr after structural relaxation.

Unit cell a=3.317 b=5.192 c=5.192 alpha=90.00 beta=90.00 gamma=90.00
Sites, in units of the cell vectors:
Mg: 0.000 0.000 0.000
Mg: 0.000 0.500 0.500
Br: 0.500 0.500 0.000
Cr: 0.500 0.000 0.500

## Properties
space-group type: P4/mmm, No. 123

ii) The following is a DFT calculation (PBE-GGA) of Mg2CrBr after structural relaxation.

Unit cell a=4.571 b=3.408 c=5.833 alpha=72.98 beta=90.00 gamma=90.00
Sites, in units of the cell vectors:
Cr: 0.500 0.554 0.765
Br: 0.000 0.690 0.493
Mg: 0.000 0.954 0.967
Mg: 0.500 0.302 0.274

## Properties
space-group type: Pm, No. 6

ii) comes first in stability; the runner-up is 22 meV per atom higher.

i) The following is a DFT calculation (PBE-GGA) of Mg2CrBr after structural relaxation.

Unit cell a=3.345 b=3.345 c=8.161 alpha=90.00 beta=90.00 gamma=90.00
Sites, in units of the cell vectors:
Mg: 0.500 0.500 0.236
Mg: 0.000 0.000 0.977
Br: 0.000 0.000 0.540
Cr: 0.500 0.500 0.747

## Properties
space-group type: P4mm, No. 99

ii) The following is a DFT calculation (PBE-GGA) of Mg2CrBr after structural relaxation.

Unit cell a=3.580 b=3.630 c=7.888 alpha=90.00 beta=90.00 gamma=90.00
Sites, in units of the cell vectors:
Mg: 0.000 0.000 0.000
Mg: 0.500 0.500 0.234
Br: 0.000 0.000 0.416
Cr: 0.500 0.500 0.851

## Properties
space-group type: Pmm2, No. 25

i) comes first in stability; the runner-up is 30 meV per atom higher.

i) The following is a DFT calculation (PBE-GGA) of Mg2CrBr after structural relaxation.

Unit cell a=5.161 b=5.161 c=5.161 alpha=60.00 beta=60.00 gamma=60.00
Sites, in units of the cell vectors:
Mg: 0.250 0.250 0.250
Mg: 0.000 0.000 0.000
Cr: 0.750 0.750 0.750
Br: 0.500 0.500 0.500

## Properties
space-group type: F-43m, No. 216

ii) The following is a DFT calculation (PBE-GGA) of Mg2CrBr after structural relaxation.

Unit cell a=5.141 b=5.141 c=5.141 alpha=60.00 beta=60.00 gamma=60.00
Sites, in units of the cell vectors:
Mg: 0.750 0.750 0.750
Mg: 0.250 0.250 0.250
Cr: 0.000 0.000 0.000
Br: 0.500 0.500 0.500

## Properties
space-group type: Fm-3m, No. 225

iii) The following is a DFT calculation (PBE-GGA) of Mg2CrBr after structural relaxation.

Unit cell a=3.326 b=3.415 c=8.105 alpha=90.65 beta=90.00 gamma=90.00
Sites, in units of the cell vectors:
Cr: 0.500 0.750 0.750
Mg: 0.000 0.242 0.528
Mg: 0.000 0.258 0.972
Br: 0.500 0.250 0.250

## Properties
space-group type: P2/m, No. 10

iii) comes first in stability; the runner-up is 465 meV per atom higher.

i) The following is a DFT calculation (PBE-GGA) of Mg2CrBr after structural relaxation.

Unit cell a=7.023 b=5.279 c=3.330 alpha=90.00 beta=61.78 gamma=121.09
Sites, in units of the cell vectors:
Cr: 0.500 0.500 0.000
Mg: 0.000 0.000 0.000
Mg: 0.500 0.000 0.500
Br: 0.000 0.500 0.500

## Properties
space-group type: C2/m, No. 12

ii) The following is a DFT calculation (PBE-GGA) of Mg2CrBr after structural relaxation.

Unit cell a=3.365 b=5.319 c=5.072 alpha=90.00 beta=90.00 gamma=90.00
Sites, in units of the cell vectors:
Br: 0.500 0.000 0.500
Mg: 0.500 0.500 0.000
Mg: 0.000 0.000 0.000
Cr: 0.000 0.500 0.500

## Properties
space-group type: Pmmm, No. 47

i) comes first in stability; the runner-up is 163 meV per atom higher.

i) The following is a DFT calculation (PBE-GGA) of Mg2CrBr after structural relaxation.

Unit cell a=5.788 b=5.788 c=5.788 alpha=137.16 beta=137.16 gamma=62.19
Sites, in units of the cell vectors:
Cr: 0.750 0.250 0.500
Br: 0.250 0.750 0.500
Mg: 0.000 0.000 0.000
Mg: 0.500 0.500 0.000

## Properties
space-group type: I4/mmm, No. 139

ii) The following is a DFT calculation (PBE-GGA) of Mg2CrBr after structural relaxation.

Unit cell a=8.902 b=8.902 c=8.902 alpha=22.46 beta=22.46 gamma=22.46
Sites, in units of the cell vectors:
Br: 0.250 0.250 0.250
Mg: 0.000 0.000 0.000
Mg: 0.500 0.500 0.500
Cr: 0.750 0.750 0.750

## Properties
space-group type: R-3m, No. 166

ii) comes first in stability; the runner-up is 231 meV per atom higher.

i) The following is a DFT calculation (PBE-GGA) of Mg2CrBr after structural relaxation.

Unit cell a=6.013 b=6.013 c=6.013 alpha=139.51 beta=139.51 gamma=58.60
Sites, in units of the cell vectors:
Mg: 0.000 0.000 0.000
Mg: 0.250 0.750 0.500
Cr: 0.750 0.250 0.500
Br: 0.500 0.500 0.000

## Properties
space-group type: I-4m2, No. 119

ii) The following is a DFT calculation (PBE-GGA) of Mg2CrBr after structural relaxation.

Unit cell a=5.847 b=5.847 c=5.537 alpha=61.19 beta=61.19 gamma=34.02
Sites, in units of the cell vectors:
Mg: 0.013 0.013 0.985
Mg: 0.487 0.487 0.515
Cr: 0.250 0.250 0.250
Br: 0.750 0.750 0.750

## Properties
space-group type: C2/m, No. 12

ii) comes first in stability; the runner-up is 42 meV per atom higher.

i) The following is a DFT calculation (PBE-GGA) of Mg2CrBr after structural relaxation.

Unit cell a=3.329 b=3.329 c=7.830 alpha=90.00 beta=90.00 gamma=90.00
Sites, in units of the cell vectors:
Br: 0.500 0.500 0.250
Cr: 0.500 0.500 0.750
Mg: 0.000 0.000 0.524
Mg: 0.000 0.000 0.976

## Properties
space-group type: P4/mmm, No. 123

ii) The following is a DFT calculation (PBE-GGA) of Mg2CrBr after structural relaxation.

Unit cell a=3.323 b=3.323 c=8.634 alpha=90.00 beta=90.00 gamma=107.42
Sites, in units of the cell vectors:
Mg: 0.000 0.000 0.986
Mg: 0.500 0.500 0.260
Cr: 0.500 0.500 0.744
Br: 0.000 0.000 0.511

## Properties
space-group type: Cmm2, No. 35

i) comes first in stability; the runner-up is 139 meV per atom higher.

i) The following is a DFT calculation (PBE-GGA) of Mn2CrBr after structural relaxation.

Unit cell a=4.142 b=4.142 c=4.142 alpha=60.00 beta=60.00 gamma=60.00
Sites, in units of the cell vectors:
Mn: 0.750 0.750 0.750
Mn: 0.250 0.250 0.250
Br: 0.500 0.500 0.500
Cr: 0.000 0.000 0.000

## Properties
space-group type: Fm-3m, No. 225

ii) The following is a DFT calculation (PBE-GGA) of Mn2CrBr after structural relaxation.

Unit cell a=6.227 b=4.787 c=3.171 alpha=90.05 beta=59.30 gamma=118.77
Sites, in units of the cell vectors:
Mn: 0.000 0.000 0.000
Mn: 0.500 0.000 0.500
Cr: 0.500 0.500 0.000
Br: 0.000 0.500 0.500

## Properties
space-group type: Cmmm, No. 65

iii) The following is a DFT calculation (PBE-GGA) of Mn2CrBr after structural relaxation.

Unit cell a=6.946 b=6.946 c=3.081 alpha=83.19 beta=83.19 gamma=26.95
Sites, in units of the cell vectors:
Br: 0.546 0.546 0.727
Mn: 0.726 0.726 0.483
Mn: 0.921 0.921 0.358
Cr: 0.307 0.307 0.932

## Properties
space-group type: Cm, No. 8

iv) The following is a DFT calculation (PBE-GGA) of Mn2CrBr after structural relaxation.

Unit cell a=5.359 b=5.359 c=5.359 alpha=135.84 beta=135.84 gamma=64.23
Sites, in units of the cell vectors:
Cr: 0.750 0.250 0.500
Mn: 0.250 0.750 0.500
Mn: 0.000 0.000 0.000
Br: 0.500 0.500 0.000

## Properties
space-group type: I-4m2, No. 119

iii) comes first in stability; the runner-up is 270 meV per atom higher.

i) The following is a DFT calculation (PBE-GGA) of MnCrBr2 after structural relaxation.

Unit cell a=3.888 b=3.641 c=7.508 alpha=108.13 beta=90.00 gamma=90.00
Sites, in units of the cell vectors:
Cr: 0.500 0.250 0.250
Br: 0.000 0.844 0.011
Br: 0.000 0.656 0.489
Mn: 0.500 0.750 0.750

## Properties
space-group type: P2/m, No. 10

ii) The following is a DFT calculation (PBE-GGA) of MnCrBr2 after structural relaxation.

Unit cell a=3.298 b=3.298 c=8.150 alpha=90.00 beta=90.00 gamma=90.00
Sites, in units of the cell vectors:
Mn: 0.500 0.500 0.725
Br: 0.500 0.500 0.354
Br: 0.000 0.000 0.905
Cr: 0.000 0.000 0.516

## Properties
space-group type: P4mm, No. 99

ii) comes first in stability; the runner-up is 122 meV per atom higher.